VASP calculation (PBE with a Hubbard U) on a relaxed RbMoF3 crystal.

Unit cell a=4.541 b=4.541 c=4.541 alpha=90.00 beta=90.00 gamma=90.00
Sites, in units of the cell vectors:
Rb1 0.000 0.000 0.000
Mo1 0.500 0.500 0.500
F1 0.000 0.500 0.500
F2 0.500 0.000 0.500
F3 0.500 0.500 0.000

Computed properties:
* uncorrected energy: -4.93 eV per atom
* ΔE to the lowest computed polymorph: 98 meV/atom